KAl2Ag2 at its PBEsol-relaxed geometry, computed with meta-GGA SCAN.

a b c (Å): 2.8137 8.5291 8.5291
angles (deg): 90.00 90.00 90.00
Fractional positions:
Al 0.5000 0.6282 0.8718
Al 0.5000 0.8718 0.3718
Al 0.5000 0.3718 0.1282
Al 0.5000 0.1282 0.6282
Ag 0.0000 0.8391 0.6609
Ag 0.0000 0.1609 0.3391
Ag 0.0000 0.6609 0.1609
Ag 0.0000 0.3391 0.8391
K 0.0000 0.5000 0.5000
K 0.0000 0.0000 0.0000

Properties
* E_form: -0.0338 eV/atom